(1)
GGA-PBE PmEr3Tm6Th2, optimized geometry; symmetry = C2/m, No. 12; M_tot = 0.00 μB/cell; N(E_F) = 17.4 states/eV/f.u.; calculated total energy = -4.98 eV per atom
1.0
3.062 -5.298 0.000
3.062 5.298 0.000
-2.044 0.000 11.429
Pm Er Tm Th
1 3 6 2
Cartesian
0.000 0.000 0.000
2.040 3.535 5.715
2.040 0.000 5.715
2.040 -3.535 5.715
1.038 1.789 2.855
0.022 0.000 8.574
1.038 -1.789 2.855
3.042 1.789 8.575
4.059 0.000 2.855
3.042 -1.789 8.575
3.062 1.767 0.000
3.062 -1.767 0.000

=====

(2)
GGA-PBE Dy8Y2In, optimized geometry; symmetry = Immm, No. 71; M_tot = 0.00 μB/cell; N(E_F) = 16.3 states/eV/f.u.; calculated total energy = -4.77 eV per atom
1.0
-2.705 3.766 8.612
2.705 -3.766 8.612
2.705 3.766 -8.612
Dy Y In
8 2 1
Cartesian
2.705 2.020 -2.357
0.000 0.000 3.114
0.000 1.950 0.000
2.705 2.020 2.357
0.000 1.746 6.255
0.000 5.582 0.000
0.000 0.000 14.111
0.000 1.746 10.970
2.705 0.000 5.276
0.000 3.766 3.336
2.705 0.000 0.000